Record 1
! PrY3Er3, relaxed, DFT GGA-PBE; values from VASP
&SYSTEM
  ibrav = 0, nat = 7, ntyp = 3
/
ATOMIC_SPECIES
Pr 140.91 Pr.upf
Y 88.91 Y.upf
Er 167.26 Er.upf
ATOMIC_POSITIONS angstrom
Pr 0.000 0.000 0.000
Y -2.348 -1.356 5.414
Y 2.348 -1.356 5.414
Y 0.000 2.711 5.414
Er -2.147 -1.240 2.026
Er 2.147 -1.240 2.026
Er 0.000 2.480 2.026
CELL_PARAMETERS angstrom
5.342 3.084 2.380
-5.342 3.084 2.380
0.000 -6.168 2.380
! SG: R3m
! polymorph energy (0 for the lowest one): 85 meV per atom
! volume: 33.61 A^3/atom
! ΔE_f: 0.294 eV per atom
! Fermi-level density of states: 1.70 states/eV per atom

---

Record 2
! Pr4Y4Er3, relaxed, DFT GGA-PBE; values from VASP
&SYSTEM
  ibrav = 0, nat = 11, ntyp = 3
/
ATOMIC_SPECIES
Pr 140.91 Pr.upf
Y 88.91 Y.upf
Er 167.26 Er.upf
ATOMIC_POSITIONS angstrom
Pr 1.816 -3.023 7.917
Pr 0.000 1.671 3.155
Pr 1.816 3.023 7.917
Pr 0.000 7.716 3.155
Y 1.816 0.000 5.765
Y 0.000 2.991 0.000
Y 0.000 6.396 0.000
Y 0.000 4.693 5.307
Er 1.816 0.000 0.000
Er 0.000 0.000 8.694
Er 0.000 0.000 13.450
CELL_PARAMETERS angstrom
-1.816 4.693 11.072
1.816 -4.693 11.072
1.816 4.693 -11.072
! SG: Immm
! polymorph energy (0 for the lowest one): 66 meV per atom
! volume: 34.32 A^3/atom
! ΔE_f: 0.122 eV per atom
! Fermi-level density of states: 1.79 states/eV per atom

---

Record 3
! Pr5Y4Er4, relaxed, DFT GGA-PBE; values from VASP
&SYSTEM
  ibrav = 0, nat = 13, ntyp = 3
/
ATOMIC_SPECIES
Pr 140.91 Pr.upf
Y 88.91 Y.upf
Er 167.26 Er.upf
ATOMIC_POSITIONS angstrom
Pr 0.000 0.000 0.000
Pr 7.027 3.984 0.000
Pr 3.984 5.996 0.000
Pr 2.527 0.515 2.548
Pr -0.515 2.527 2.548
Y 5.015 0.996 0.000
Y 5.516 -1.496 2.548
Y 0.996 8.007 0.000
Y 1.496 5.516 2.548
Er 9.989 2.020 0.000
Er 2.020 3.034 0.000
Er 4.491 3.477 2.548
Er -3.477 4.491 2.548
CELL_PARAMETERS angstrom
-6.511 6.511 2.548
6.511 -6.511 2.548
6.511 6.511 -2.548
! SG: I4/m
! volume: 33.24 A^3/atom
! ΔE_f: 0.022 eV per atom
! Fermi-level density of states: 1.51 states/eV per atom

---

Record 4
! Pr3Y4Er3, relaxed, DFT GGA-PBE; values from VASP
&SYSTEM
  ibrav = 0, nat = 10, ntyp = 3
/
ATOMIC_SPECIES
Pr 140.91 Pr.upf
Y 88.91 Y.upf
Er 167.26 Er.upf
ATOMIC_POSITIONS angstrom
Pr 0.000 0.000 0.000
Pr 0.000 -2.330 9.069
Pr 0.000 2.330 9.069
Y 1.853 -1.670 2.381
Y 1.853 1.670 2.381
Y 1.853 0.000 7.355
Y 1.853 0.000 10.778
Er 0.000 0.000 4.682
Er 1.853 -3.278 5.674
Er 1.853 3.278 5.674
CELL_PARAMETERS angstrom
3.705 0.000 0.000
0.000 6.694 6.745
0.000 -6.694 6.745
! SG: Amm2
! volume: 33.46 A^3/atom
! ΔE_f: 0.114 eV per atom
! Fermi-level density of states: 0.79 states/eV per atom